(1)
Density functional theory data (PBE) for Ho2InNi12P3 after structural relaxation.

Calculated values
SG   No. 166
Energy of formation   -0.051 eV per atom
Total magnetic moment   0.0 μB per cell

Cell lengths 7.1699, 7.1699, 7.1699 Å; angles 63.65, 63.65, 63.65 degrees
Closest atoms and distances in Å follow each position.
Atoms (fractional coordinates):
Ho 0.5979 0.5979 0.5979  6 Ni 2.69-2.71
Ho 0.4021 0.4021 0.4021  6 Ni 2.69-2.71
In 0.0000 0.0000 0.0000  6 Ni 2.53
Ni 0.3421 0.3421 0.8954  2 P 2.13
Ni 0.8556 0.8556 0.4124  1 P 2.16
Ni 0.4124 0.8556 0.8556  1 P 2.16
Ni 0.8954 0.3421 0.3421  2 P 2.13
Ni 0.8556 0.4124 0.8556  1 P 2.16
Ni 0.3421 0.8954 0.3421  2 P 2.13
Ni 0.6579 0.6579 0.1046  2 P 2.13
Ni 0.1444 0.1444 0.5876  1 P 2.16
Ni 0.5876 0.1444 0.1444  1 P 2.16
Ni 0.1046 0.6579 0.6579  2 P 2.13
Ni 0.1444 0.5876 0.1444  1 P 2.16
Ni 0.6579 0.1046 0.6579  2 P 2.13
P 0.5000 0.0000 0.0000  6 Ni 2.13-2.16
P 0.0000 0.5000 0.0000  6 Ni 2.13-2.16
P 0.0000 0.0000 0.5000  6 Ni 2.13-2.16

---

(2)
Density functional theory data (PBE) for HoInNiPd after structural relaxation.

Calculated values
SG   No. 216
Energy of formation   -0.581 eV per atom
Total magnetic moment   0.0 μB per cell

Cell lengths 4.7046, 4.7046, 4.7046 Å; angles 60.00, 60.00, 60.00 degrees
Closest atoms and distances in Å follow each position.
Atoms (fractional coordinates):
Ni 0.2500 0.2500 0.2500  4 Ho 2.88, 4 In 2.88
Ho 0.0000 0.0000 0.0000  4 Ni 2.88, 4 Pd 2.88
Pd 0.7500 0.7500 0.7500  4 In 2.88, 4 Ho 2.88
In 0.5000 0.5000 0.5000  4 Pd 2.88, 4 Ni 2.88

---

(3)
Density functional theory data (PBE) for PrHoInNi after structural relaxation.

Calculated values
SG   No. 216
Energy of formation   -0.254 eV per atom
Total magnetic moment   0.0 μB per cell

Cell lengths 5.1943, 5.1943, 5.1943 Å; angles 60.00, 60.00, 60.00 degrees
Closest atoms and distances in Å follow each position.
Atoms (fractional coordinates):
Pr 0.5000 0.5000 0.5000  4 Ni 3.18, 4 In 3.18
Ni 0.2500 0.2500 0.2500  4 Pr 3.18, 4 Ho 3.18
Ho 0.0000 0.0000 0.0000  4 In 3.18, 4 Ni 3.18
In 0.7500 0.7500 0.7500  4 Ho 3.18, 4 Pr 3.18